w.
Computed, not measured: a relaxed structure of Ag2RuW at the PBEsol level of DFT.

```
4
Lattice="4.424 0.000 0.000 2.212 3.831 0.000 2.212 1.277 3.612" Properties=species:S:1:pos:R:3 pbc="T T T"
Ag 2.212 1.277 0.903
Ag 6.635 3.831 2.709
Ru 0.000 0.000 0.000
W 4.424 2.554 1.806
```

Output
- V (Å³ per atom) = 15.302
- symmetry = Fm-3m

---

x.
Computed, not measured: a relaxed structure of Ag2RuW at the PBEsol level of DFT.

```
4
Lattice="-2.557 1.479 2.179 2.100 -1.419 3.427 2.287 3.333 -2.671" Properties=species:S:1:pos:R:3 pbc="T T T"
Ag 1.821 3.380 2.934
Ag -0.233 2.448 1.156
Ru -0.162 0.140 2.807
W 2.004 0.850 1.775
```

Output
- V (Å³ per atom) = 15.434
- symmetry = Imm2

---

Least stable: w

---

w.
Computed, not measured: a relaxed structure of YAgRu2 at the PBEsol level of DFT.

```
4
Lattice="-0.321 2.344 -2.423 -3.115 0.723 1.113 2.271 4.117 3.682" Properties=species:S:1:pos:R:3 pbc="T T T"
Ag -0.583 3.592 1.186
Ru 1.636 2.965 2.652
Ru 0.635 1.151 1.030
Y -1.718 1.534 -0.655
```

Output
- V (Å³ per atom) = 17.121
- symmetry = P4/mmm

---

x.
Computed, not measured: a relaxed structure of YAgRu2 at the PBEsol level of DFT.

```
4
Lattice="-0.062 -1.802 2.318 1.478 -2.805 -2.142 5.576 1.772 1.528" Properties=species:S:1:pos:R:3 pbc="T T T"
Ag 5.006 -0.938 1.266
Ru 0.195 0.062 0.053
Ru 1.869 -1.935 0.406
Y 2.710 0.861 0.742
```

Output
- V (Å³ per atom) = 16.989
- symmetry = Pmm2

---

Least stable: w

---

w.
Computed, not measured: a relaxed structure of ZrAg2Ru at the PBEsol level of DFT.

```
4
Lattice="3.815 0.000 0.000 0.000 3.815 0.000 0.000 0.000 4.497" Properties=species:S:1:pos:R:3 pbc="T T T"
Ag 0.000 1.907 0.000
Ag 1.907 0.000 0.000
Ru 1.907 1.907 2.249
Zr 0.000 0.000 2.249
```

Output
- V (Å³ per atom) = 16.360
- symmetry = P4/mmm

---

x.
Computed, not measured: a relaxed structure of ZrAg2Ru at the PBEsol level of DFT.

```
4
Lattice="-0.374 -2.337 -1.504 -1.231 -1.221 2.204 -7.554 2.894 -2.618" Properties=species:S:1:pos:R:3 pbc="T T T"
Ag -5.782 2.216 -2.004
Ag -1.771 0.679 -0.614
Ru -0.803 -1.779 0.350
Zr -4.580 -0.332 -0.959
```

Output
- V (Å³ per atom) = 16.713
- symmetry = P4/mmm

---

Least stable: x

---

w.
Computed, not measured: a relaxed structure of TaAg7S6 at the PBEsol level of DFT.

```
14
Lattice="7.210 -0.061 -0.415 -3.533 6.458 -0.006 -3.717 -2.388 6.281" Properties=species:S:1:pos:R:3 pbc="T T T"
S 3.621 6.299 -0.402
S 0.062 -0.231 4.749
S 3.554 -0.526 2.524
S 1.511 2.444 2.374
S -3.065 1.820 5.735
S -2.074 2.991 2.276
Ag 2.466 -0.164 5.441
Ag 1.887 1.587 -0.009
Ag -5.243 2.782 5.889
Ag -0.572 2.059 4.028
Ag 5.494 0.382 1.307
Ag -4.933 4.630 3.619
Ag 0.873 -0.816 2.317
Ta -3.621 1.775 3.484
```

Output
- V (Å³ per atom) = 19.826
- symmetry = P1

---

x.
Computed, not measured: a relaxed structure of TaAg7S6 at the PBEsol level of DFT.

```
28
Lattice="-2.551 4.460 4.916 -5.808 1.691 -4.547 -5.598 -7.717 4.096" Properties=species:S:1:pos:R:3 pbc="T T T"
Ta -7.684 5.003 -0.860
Ta -6.327 -1.889 1.050
Ag -3.614 1.011 1.137
Ag -5.658 0.008 -2.136
Ag -7.258 -2.880 4.076
Ag -6.605 2.745 -2.916
Ag -3.982 1.509 5.175
Ag -9.919 -0.949 2.071
Ag -9.735 1.855 3.215
Ag -7.965 -4.511 1.634
Ag -3.991 -1.197 3.815
Ag -7.246 -7.017 2.942
Ag -7.562 -0.102 3.452
Ag -7.703 -0.936 6.331
Ag -9.864 -3.912 3.917
Ag -7.321 1.749 -0.328
S -2.262 -0.967 2.077
S -6.137 0.342 1.513
S -5.199 -0.554 5.812
S -6.099 -4.244 5.963
S -3.883 1.666 -1.248
S -4.027 2.741 3.051
S -5.296 -3.172 2.674
S -6.690 3.785 0.836
S -10.664 -5.011 -0.897
S -9.338 -1.578 4.499
S -8.498 -2.427 0.450
S -7.467 2.384 4.159
```

Output
- V (Å³ per atom) = 19.941
- symmetry = Pc

---

Least stable: w

---

w.
Computed, not measured: a relaxed structure of AgSb3 at the PBEsol level of DFT.

```
4
Lattice="4.196 0.000 0.000 2.098 3.634 0.000 2.098 1.211 6.683" Properties=species:S:1:pos:R:3 pbc="T T T"
Sb 4.196 2.423 3.341
Sb 6.294 3.634 5.204
Sb 2.098 1.211 1.478
Ag 0.000 0.000 0.000
```

Output
- V (Å³ per atom) = 25.477
- symmetry = R-3m

---

x.
Computed, not measured: a relaxed structure of AgSb3 at the PBEsol level of DFT.

```
4
Lattice="5.119 0.000 0.000 -2.559 4.474 0.130 0.000 2.803 4.283" Properties=species:S:1:pos:R:3 pbc="T T T"
Sb 0.000 2.938 1.136
Sb 2.559 1.402 2.141
Sb 2.559 4.340 3.277
Ag 0.000 0.000 0.000
```

Output
- V (Å³ per atom) = 24.055
- symmetry = I4/mmm

---

y.
Computed, not measured: a relaxed structure of AgSb3 at the PBEsol level of DFT.

```
4
Lattice="-1.991 -2.386 -0.712 1.007 0.270 -3.724 5.705 -5.111 1.173" Properties=species:S:1:pos:R:3 pbc="T T T"
Sb 3.944 -5.032 -1.305
Sb 2.852 -2.555 0.587
Sb 0.777 -2.195 -1.957
Ag 0.000 0.000 0.000
```

Output
- V (Å³ per atom) = 23.883
- symmetry = Pmmm

---

Least stable: x

---

w.
Computed, not measured: a relaxed structure of AgSb5 at the PBEsol level of DFT.

```
6
Lattice="-2.067 3.349 1.553 1.391 -1.711 5.543 6.385 1.760 -1.059" Properties=species:S:1:pos:R:3 pbc="T T T"
Sb 3.605 2.314 -0.190
Sb 0.712 2.795 0.684
Sb 4.256 1.430 2.583
Sb 1.453 1.968 3.453
Sb 0.695 -0.856 2.771
Ag 0.000 0.000 0.000
```

Output
- V (Å³ per atom) = 26.771
- symmetry = Cmmm

---

x.
Computed, not measured: a relaxed structure of AgSb5 at the PBEsol level of DFT.

```
6
Lattice="-2.508 -4.161 1.490 2.723 -3.117 -4.120 2.351 0.489 5.323" Properties=species:S:1:pos:R:3 pbc="T T T"
Sb 1.515 -0.785 0.359
Sb 1.910 -2.186 -2.890
Sb 1.649 0.343 3.734
Sb 1.221 -2.794 2.920
Sb 1.345 -3.995 -0.227
Ag -1.254 -2.081 0.745
```

Output
- V (Å³ per atom) = 25.016
- symmetry = P-62m

---

Least stable: x

---

w.
Computed, not measured: a relaxed structure of AgSbTe at the PBEsol level of DFT.

```
3
Lattice="-0.734 3.166 -0.055 -1.236 -1.994 -2.250 -6.370 -1.394 4.735" Properties=species:S:1:pos:R:3 pbc="T T T"
Sb -5.624 -1.271 1.868
Te -2.739 1.044 0.580
Ag -6.347 -1.389 4.718
```

Output
- V (Å³ per atom) = 24.576
- symmetry = P3m1

---

x.
Computed, not measured: a relaxed structure of AgSbTe at the PBEsol level of DFT.

```
3
Lattice="4.966 0.000 0.000 2.483 4.301 0.000 2.483 1.434 4.055" Properties=species:S:1:pos:R:3 pbc="T T T"
Sb 7.449 4.301 3.041
Te 0.000 0.000 0.000
Ag 4.966 2.867 2.027
```

Output
- V (Å³ per atom) = 28.866
- symmetry = F-43m

---

Least stable: x

---

w.
Computed, not measured: a relaxed structure of Ag2SbTe at the PBEsol level of DFT.

```
4
Lattice="3.799 0.000 0.000 0.000 4.298 0.001 0.000 -1.304 5.586" Properties=species:S:1:pos:R:3 pbc="T T T"
Sb 1.900 2.149 0.001
Te 0.000 -0.652 2.793
Ag 0.000 0.000 0.000
Ag 1.900 1.497 2.794
```

Output
- V (Å³ per atom) = 22.806
- symmetry = P2/m

---

x.
Computed, not measured: a relaxed structure of Ag2SbTe at the PBEsol level of DFT.

```
4
Lattice="3.033 0.000 0.000 0.000 4.110 0.000 0.000 0.000 7.335" Properties=species:S:1:pos:R:3 pbc="T T T"
Sb 0.000 0.000 3.135
Te 1.517 2.055 5.955
Ag 0.000 0.000 0.240
Ag 1.517 2.055 1.673
```

Output
- V (Å³ per atom) = 22.864
- symmetry = Pmm2

---

Least stable: w